1.
Material: Dy2NbFe
Method: DFT, PBE-GGA
State: relaxed

```
Dy2NbFe
1.0
1.598 0.923 10.030
-1.598 0.923 10.030
0.000 -1.845 10.030
Dy Nb Fe
2 1 1
direct
0.099 0.099 0.099
0.901 0.901 0.901
0.000 0.000 0.000
0.500 0.500 0.500
```

- Total magnetization: 1.77 μB per formula unit
- Space-group type: R-3m

2.
Material: DyNbFeRu
Method: DFT, PBE-GGA
State: relaxed

```
DyNbFeRu
1.0
0.000 3.232 3.232
3.232 0.000 3.232
3.232 3.232 0.000
Dy Nb Fe Ru
1 1 1 1
direct
0.000 0.000 0.000
0.500 0.500 0.500
0.250 0.250 0.250
0.750 0.750 0.750
```

- Total magnetization: 0.13 μB per formula unit
- Space-group type: F-43m

3.
Material: NdDy2Fe9
Method: DFT, PBE-GGA
State: relaxed

```
NdDy2Fe9
1.0
2.566 1.482 8.102
-2.566 1.482 8.102
0.000 -2.963 8.102
Nd Dy Fe
1 2 9
direct
0.000 0.000 0.000
0.142 0.142 0.142
0.858 0.858 0.858
0.083 0.582 0.582
0.333 0.333 0.333
0.418 0.418 0.917
0.418 0.917 0.418
0.500 0.500 0.500
0.582 0.083 0.582
0.582 0.582 0.083
0.667 0.667 0.667
0.917 0.418 0.418
```

- Total magnetization: 17.33 μB per formula unit
- Space-group type: R-3m

4.
Material: Nd3DyFe
Method: DFT, PBE-GGA
State: relaxed

```
Nd3DyFe
1.0
5.391 0.000 0.000
0.000 5.391 0.000
0.000 0.000 5.391
Nd Dy Fe
3 1 1
direct
0.000 0.000 0.500
0.000 0.500 0.000
0.500 0.000 0.000
0.500 0.500 0.500
0.000 0.000 0.000
```

- Total magnetization: 0.00 μB per formula unit
- Space-group type: Pm-3m

5.
Material: NdDy3Fe
Method: DFT, PBE-GGA
State: relaxed

```
NdDy3Fe
1.0
5.294 0.000 0.000
0.000 5.294 0.000
0.000 0.000 5.294
Nd Dy Fe
1 3 1
direct
0.000 0.000 0.000
0.000 0.500 0.500
0.500 0.000 0.500
0.500 0.500 0.000
0.500 0.500 0.500
```

- Total magnetization: 0.03 μB per formula unit
- Space-group type: Pm-3m

6.
Material: NdDyFe
Method: DFT, PBE-GGA
State: relaxed

```
NdDyFe
1.0
-1.718 1.718 6.474
1.718 -1.718 6.474
1.718 1.718 -6.474
Nd Dy Fe
1 1 1
direct
0.000 0.000 0.000
0.745 0.745 0.000
0.367 0.367 0.000
```

- Total magnetization: 1.00 μB per formula unit
- Relative energy among the computed polymorphs: 47 meV per atom
- Space-group type: I4mm

7.
Material: Nd2DyFe9
Method: DFT, PBE-GGA
State: relaxed

```
Nd2DyFe9
1.0
2.575 1.487 8.270
-2.575 1.487 8.270
0.000 -2.973 8.270
Nd Dy Fe
2 1 9
direct
0.141 0.141 0.141
0.859 0.859 0.859
0.000 0.000 0.000
0.083 0.577 0.577
0.333 0.333 0.333
0.423 0.423 0.917
0.423 0.917 0.423
0.500 0.500 0.500
0.577 0.083 0.577
0.577 0.577 0.083
0.667 0.667 0.667
0.917 0.423 0.423
```

- Total magnetization: 19.07 μB per formula unit
- Space-group type: R-3m

8.
Material: NdDyFe
Method: DFT, PBE-GGA
State: relaxed

```
NdDyFe
1.0
3.489 -6.073 0.000
3.489 6.073 0.000
0.000 0.000 7.389
Nd Dy Fe
4 4 4
direct
0.198 0.802 0.888
0.302 0.698 0.388
0.698 0.302 0.612
0.802 0.198 0.112
0.209 0.291 0.750
0.291 0.209 0.250
0.709 0.791 0.750
0.791 0.709 0.250
0.090 0.910 0.542
0.410 0.590 0.042
0.590 0.410 0.958
0.910 0.090 0.458
```

- Total magnetization: 0.84 μB per formula unit
- Relative energy among the computed polymorphs: 0 meV per atom
- Space-group type: Cmce

9.
Material: NdDyZnFe
Method: DFT, PBE-GGA
State: relaxed

```
NdDyZnFe
1.0
0.000 3.535 3.535
3.535 0.000 3.535
3.535 3.535 0.000
Nd Dy Zn Fe
1 1 1 1
direct
0.000 0.000 0.000
0.500 0.500 0.500
0.250 0.250 0.250
0.750 0.750 0.750
```

- Total magnetization: 1.33 μB per formula unit
- Space-group type: F-43m

10.
Material: DyFe2Ni9
Method: DFT, PBE-GGA
State: relaxed

```
DyFe2Ni9
1.0
8.092 0.000 0.000
-4.046 7.007 0.000
0.000 0.000 2.612
Dy Fe Ni
1 2 9
direct
0.000 0.000 0.000
0.333 0.667 0.000
0.667 0.333 0.000
0.000 0.500 0.000
0.185 0.369 0.500
0.185 0.815 0.500
0.369 0.185 0.500
0.500 0.000 0.000
0.500 0.500 0.000
0.631 0.815 0.500
0.815 0.185 0.500
0.815 0.631 0.500
```

- Total magnetization: 9.86 μB per formula unit
- Space-group type: P6/mmm

11.
Material: DyFeNi6
Method: DFT, PBE-GGA
State: relaxed

```
DyFeNi6
1.0
3.787 0.000 0.000
0.000 3.787 0.000
0.000 0.000 7.877
Dy Fe Ni
1 1 6
direct
0.000 0.000 0.000
0.000 0.000 0.500
0.000 0.500 0.325
0.000 0.500 0.675
0.500 0.000 0.325
0.500 0.000 0.675
0.500 0.500 0.144
0.500 0.500 0.856
```

- Total magnetization: 5.79 μB per formula unit
- Space-group type: P4/mmm

12.
Material: Dy2Fe3Ni
Method: DFT, PBE-GGA
State: relaxed

```
Dy2Fe3Ni
1.0
2.538 1.465 4.295
-2.538 1.465 4.295
0.000 -2.930 4.295
Dy Fe Ni
2 3 1
direct
0.124 0.124 0.124
0.876 0.876 0.876
0.000 0.500 0.500
0.500 0.000 0.500
0.500 0.500 0.000
0.500 0.500 0.500
```

- Total magnetization: 5.79 μB per formula unit
- Space-group type: R-3m

Results for formation energy: 0.6729 -0.0642 -0.0309 0.2165 0.1067 0.1283 0.0092 0.0817 -0.0217 0.0509 0.0370 -0.1525 (in eV per atom, following the order of the records).